SiPRh (PBE, optimized geometry); DOS at the Fermi energy = 1.8 states/eV/f.u.; raw formation energy = -0.215 eV per atom
1.0
4.149 0.000 -0.013
0.000 2.825 0.000
-0.889 0.000 8.571
Rh P Si
2 2 2
Direct
0.124 0.000 0.673
0.124 0.500 0.173
0.235 0.000 0.949
0.235 0.500 0.449
0.645 0.000 0.135
0.645 0.500 0.635

***

LiFeIr (PBE, optimized geometry); DFT formation energy = -14 meV per atom; DOS at the Fermi energy = 2.4 states/eV/f.u.
1.0
-7.009 6.069 3.011
-4.674 -0.159 2.018
5.021 -0.693 0.505
Ir Fe Li
2 2 2
Direct
0.298 0.144 0.856
0.014 0.023 0.977
0.667 0.726 0.274
0.350 0.378 0.622
0.961 0.803 0.197
0.618 0.495 0.505

***

Np2PaTaN4 (PBE, optimized geometry); DOS at the Fermi energy = 12.4 states/eV/f.u.; raw formation energy = -1.254 eV per atom
1.0
-1.394 -2.305 -1.982
3.087 -4.190 2.702
-5.071 0.660 2.800
N Np Pa Ta
4 2 1 1
Direct
0.000 0.231 0.763
0.500 0.778 0.776
0.000 0.769 0.237
0.500 0.222 0.224
0.500 0.000 0.500
0.000 0.500 0.500
0.500 0.500 0.000
0.000 0.000 0.000

***

MgZrCu (PBE, optimized geometry); DFT formation energy = 128 meV per atom; DOS at the Fermi energy = 2.8 states/eV/f.u.
1.0
-0.403 0.429 2.957
0.469 -2.780 -1.070
7.160 0.882 0.849
Mg Cu Zr
1 1 1
Direct
0.667 0.333 0.306
0.000 0.000 0.005
0.333 0.667 0.689

***

CeTe2P (PBE, optimized geometry); DOS at the Fermi energy = 8.2 states/eV/f.u.; raw formation energy = 0.110 eV per atom
1.0
3.903 0.000 0.000
1.951 3.380 0.000
1.951 1.127 9.417
P Ce Te
1 1 2
Direct
0.500 0.500 0.500
0.000 0.000 0.000
0.110 0.110 0.671
0.890 0.890 0.329

***

SbMoPb2 (PBE, optimized geometry); DOS at the Fermi energy = 2.3 states/eV/f.u.; raw formation energy = 0.457 eV per atom
1.0
4.717 0.000 0.000
0.000 3.971 0.001
0.000 1.988 5.372
Mo Pb Sb
1 2 1
Direct
0.500 0.560 0.754
0.500 0.277 0.321
0.000 0.971 0.933
0.000 0.692 0.492

***

NpTlAsO6 (PBE, optimized geometry); DOS at the Fermi energy = 2.2 states/eV/f.u.; raw formation energy = -1.699 eV per atom
1.0
-3.378 -0.651 -4.064
-4.105 -3.358 0.463
-3.582 4.686 2.226
O Tl As Np
6 1 1 1
Direct
0.358 0.611 0.330
0.031 0.611 0.670
0.358 0.031 0.670
0.611 0.358 0.670
0.611 0.031 0.330
0.031 0.358 0.330
0.000 0.000 0.000
0.333 0.333 0.500
0.667 0.667 0.500

***

LiThSeS (PBE, optimized geometry); DOS at the Fermi energy = 1.7 states/eV/f.u.; raw formation energy = -1.477 eV per atom
1.0
4.688 0.000 0.000
2.344 4.060 0.000
2.344 1.353 10.021
Li S Th Se
2 2 2 2
Direct
0.800 0.800 0.601
0.200 0.200 0.399
0.707 0.707 0.879
0.293 0.293 0.121
0.614 0.614 0.159
0.386 0.386 0.841
0.887 0.887 0.340
0.113 0.113 0.660

***

Ba3TlIn6Sn2 (PBE, optimized geometry); DFT formation energy = -218 meV per atom; DOS at the Fermi energy = 6.4 states/eV/f.u.
1.0
6.314 0.000 0.000
-3.157 5.468 0.000
0.000 0.000 11.928
In Ba Sn Tl
6 3 2 1
Direct
0.832 0.664 0.730
0.168 0.832 0.270
0.664 0.832 0.270
0.336 0.168 0.730
0.168 0.336 0.270
0.832 0.168 0.730
0.000 0.000 0.000
0.667 0.333 0.434
0.333 0.667 0.566
0.333 0.667 0.056
0.667 0.333 0.944
0.000 0.000 0.500

***

Sr2CdGa3Ge4 (PBE, optimized geometry); DFT formation energy = -314 meV per atom; DOS at the Fermi energy = 3.0 states/eV/f.u.
1.0
-1.338 -3.233 3.230
3.929 0.906 2.534
-4.999 7.228 5.165
Cd Sr Ge Ga
1 2 4 3
Direct
0.500 0.500 0.500
0.000 0.500 0.759
0.500 0.000 0.241
0.000 0.500 0.364
0.500 0.500 0.000
0.500 0.000 0.636
0.000 0.000 0.000
0.000 0.500 0.116
0.000 0.000 0.500
0.500 0.000 0.884

***

MnPbBr2 (PBE, optimized geometry); DOS at the Fermi energy = 1.2 states/eV/f.u.; raw formation energy = 0.086 eV per atom
1.0
-4.940 -0.328 -2.045
-0.258 -3.626 3.934
-1.222 2.803 2.503
Mn Pb Br
1 1 2
Direct
0.500 0.000 0.500
0.000 0.500 0.500
0.500 0.500 0.000
0.000 0.000 0.000

***

Y4CdS7 (PBE, optimized geometry); raw formation energy = -1.796 eV per atom
1.0
6.653 0.002 0.025
5.542 3.680 0.025
2.914 0.880 11.215
Y S Cd
4 7 1
Direct
0.110 0.110 0.572
0.315 0.315 0.791
0.007 0.007 0.003
0.701 0.701 0.191
0.255 0.255 0.350
0.666 0.666 0.946
0.477 0.477 0.529
0.346 0.346 0.048
0.042 0.042 0.220
0.736 0.736 0.645
0.964 0.964 0.789
0.883 0.883 0.419

***

| no. | volume (A^3/atom) |
| --- | --- |
| 1 | 16.74 |
| 2 | 13.12 |
| 3 | 13.55 |
| 4 | 19.06 |
| 5 | 31.05 |
| 6 | 25.16 |
| 7 | 17.20 |
| 8 | 23.84 |
| 9 | 34.31 |
| 10 | 23.11 |
| 11 | 27.81 |
| 12 | 22.85 |